# 1
Material: SrLiSb
Method: DFT, PBE
State: relaxed

Properties
Its electronic total energy is -3.43 eV/atom. As for the uncorrected formation energy: -0.855 eV/atom. Its space-group type is I4_1md, No. 109.

a = 4.6392 Å, b = 4.6392 Å, c = 16.2923 Å
α = 90.00°, β = 90.00°, γ = 90.00°
With the nearest neighbours (Å) after each atom.
Atoms (fractional coordinates):
Sb1 0.0000 0.0000 0.5617  3 Li 2.69-2.72
Sb2 0.5000 0.5000 0.0617  3 Li 2.69-2.72
Li1 0.5000 0.0000 0.4784  3 Sb 2.69-2.72
Sb3 0.5000 0.0000 0.3117  3 Li 2.69-2.72
Sr1 0.0000 0.5000 0.3950  6 Li 3.55-3.57, 6 Sb 3.55-3.57
Li2 0.0000 0.5000 0.9784  3 Sb 2.69-2.72
Li3 0.0000 0.0000 0.7284  3 Sb 2.69-2.72
Sr2 0.5000 0.0000 0.8950  6 Li 3.55-3.57, 6 Sb 3.55-3.57
Sr3 0.0000 0.0000 0.1450  6 Li 3.55-3.57, 6 Sb 3.55-3.57
Li4 0.5000 0.5000 0.2284  3 Sb 2.69-2.72
Sr4 0.5000 0.5000 0.6450  6 Li 3.55-3.57, 6 Sb 3.55-3.57
Sb4 0.0000 0.5000 0.8117  3 Li 2.69-2.72

# 2
Material: Al3Pt
Method: DFT, PBE
State: relaxed

Properties
Its electronic total energy is -4.62 eV/atom. The calculation puts the formation energy at -299 meV per atom. Its space-group type is R-3m, No. 166.

a = 5.0632 Å, b = 5.0632 Å, c = 5.0632 Å
α = 116.32°, β = 116.32°, γ = 116.32°
With the nearest neighbours (Å) after each atom.
Atoms (fractional coordinates):
Al1 0.5000 0.0000 0.5000  6 Al 2.67-2.95, 2 Pt 2.67
Al2 0.0000 0.0000 0.0000  2 Pt 2.67, 6 Al 2.67-2.95
Al3 0.0000 0.5000 0.5000  6 Al 2.67-2.95, 2 Pt 2.67
Pt1 0.5000 0.5000 0.0000  6 Al 2.67, 2 Pt 2.95

Question: What is the formula in the second record?
Answer: Al3Pt

Repeat the first record exactly.
Material: SrLiSb
Method: DFT, PBE
State: relaxed

Properties
Its electronic total energy is -3.43 eV/atom. As for the uncorrected formation energy: -0.855 eV/atom. Its space-group type is I4_1md, No. 109.

a = 4.6392 Å, b = 4.6392 Å, c = 16.2923 Å
α = 90.00°, β = 90.00°, γ = 90.00°
With the nearest neighbours (Å) after each atom.
Atoms (fractional coordinates):
Sb1 0.0000 0.0000 0.5617  3 Li 2.69-2.72
Sb2 0.5000 0.5000 0.0617  3 Li 2.69-2.72
Li1 0.5000 0.0000 0.4784  3 Sb 2.69-2.72
Sb3 0.5000 0.0000 0.3117  3 Li 2.69-2.72
Sr1 0.0000 0.5000 0.3950  6 Li 3.55-3.57, 6 Sb 3.55-3.57
Li2 0.0000 0.5000 0.9784  3 Sb 2.69-2.72
Li3 0.0000 0.0000 0.7284  3 Sb 2.69-2.72
Sr2 0.5000 0.0000 0.8950  6 Li 3.55-3.57, 6 Sb 3.55-3.57
Sr3 0.0000 0.0000 0.1450  6 Li 3.55-3.57, 6 Sb 3.55-3.57
Li4 0.5000 0.5000 0.2284  3 Sb 2.69-2.72
Sr4 0.5000 0.5000 0.6450  6 Li 3.55-3.57, 6 Sb 3.55-3.57
Sb4 0.0000 0.5000 0.8117  3 Li 2.69-2.72

Please write out number 2 again, unchanged.
Material: Al3Pt
Method: DFT, PBE
State: relaxed

Properties
Its electronic total energy is -4.62 eV/atom. The calculation puts the formation energy at -299 meV per atom. Its space-group type is R-3m, No. 166.

a = 5.0632 Å, b = 5.0632 Å, c = 5.0632 Å
α = 116.32°, β = 116.32°, γ = 116.32°
With the nearest neighbours (Å) after each atom.
Atoms (fractional coordinates):
Al1 0.5000 0.0000 0.5000  6 Al 2.67-2.95, 2 Pt 2.67
Al2 0.0000 0.0000 0.0000  2 Pt 2.67, 6 Al 2.67-2.95
Al3 0.0000 0.5000 0.5000  6 Al 2.67-2.95, 2 Pt 2.67
Pt1 0.5000 0.5000 0.0000  6 Al 2.67, 2 Pt 2.95